# Tl3I2Br2, optimized geometry, DFT GGA-PBE
data_Tl3I2Br2
_chemical_formula_sum 'Tl3 I2 Br2'
_space_group_name_H-M_alt 'P -1'
_space_group_IT_number 2
_space_group_name_Hall '-P 1'
_cell_length_a 4.462
_cell_length_b 8.544
_cell_length_c 8.835
_cell_angle_alpha 116.80
_cell_angle_beta 104.59
_cell_angle_gamma 90.05
loop_
_atom_site_label
_atom_site_type_symbol
_atom_site_fract_x
_atom_site_fract_y
_atom_site_fract_z
Tl1 Tl 0.000 0.000 0.000
Tl2 Tl 0.154 0.587 0.307
I1 I 0.480 0.257 0.958
Br1 Br 0.198 0.252 0.397
# * theoretical density: 5.91 g cm⁻³
# * V: 288.4 Å³/cell
# * D(E_F): 2.6 states/eV/f.u.

***

# TlIBr3, optimized geometry, DFT GGA-PBE
data_TlIBr3
_chemical_formula_sum 'Tl2 I2 Br6'
_space_group_name_H-M_alt 'P -1'
_space_group_IT_number 2
_space_group_name_Hall '-P 1'
_cell_length_a 5.465
_cell_length_b 8.481
_cell_length_c 9.870
_cell_angle_alpha 111.57
_cell_angle_beta 105.60
_cell_angle_gamma 93.32
loop_
_atom_site_label
_atom_site_type_symbol
_atom_site_fract_x
_atom_site_fract_y
_atom_site_fract_z
Tl1 Tl 0.184 0.184 0.372
I1 I 0.254 0.390 0.853
Br1 Br 0.147 0.157 0.964
Br2 Br 0.213 0.814 0.426
Br3 Br 0.309 0.586 0.697
# * theoretical density: 4.70 g cm⁻³
# * V: 403.5 Å³/cell

***

# Tl6I5Br, optimized geometry, DFT GGA-PBE
data_Tl6I5Br
_chemical_formula_sum 'Tl12 I10 Br2'
_space_group_name_H-M_alt 'C 1 2/m 1'
_space_group_IT_number 12
_space_group_name_Hall '-C 2y'
_cell_length_a 8.616
_cell_length_b 14.966
_cell_length_c 8.624
_cell_angle_alpha 90.00
_cell_angle_beta 109.58
_cell_angle_gamma 90.00
loop_
_atom_site_label
_atom_site_type_symbol
_atom_site_fract_x
_atom_site_fract_y
_atom_site_fract_z
Tl1 Tl 0.240 0.000 0.253
Tl2 Tl 0.242 0.162 0.743
I1 I 0.000 0.172 0.000
I2 I 0.000 0.335 0.500
I3 I 0.000 0.500 0.000
Br1 Br 0.000 0.000 0.500
# * theoretical density: 6.15 g cm⁻³
# * V: 1047.8 Å³/cell
# * D(E_F): 0.0 states/eV/f.u.

***

# Tl4I3Br, optimized geometry, DFT GGA-PBE
data_Tl4I3Br
_chemical_formula_sum 'Tl8 I6 Br2'
_space_group_name_H-M_alt 'P m n 21'
_space_group_IT_number 31
_space_group_name_Hall 'P 2ac -2'
_cell_length_a 11.936
_cell_length_b 10.172
_cell_length_c 6.997
_cell_angle_alpha 90.00
_cell_angle_beta 90.00
_cell_angle_gamma 90.00
loop_
_atom_site_label
_atom_site_type_symbol
_atom_site_fract_x
_atom_site_fract_y
_atom_site_fract_z
Tl1 Tl 0.000 0.150 0.000
Tl2 Tl 0.000 0.829 0.498
Tl3 Tl 0.241 0.673 0.998
I1 I 0.000 0.166 0.500
I2 I 0.245 0.333 0.998
Br1 Br 0.000 0.828 0.001
# * theoretical density: 5.00 g cm⁻³
# * V: 849.5 Å³/cell
# * D(E_F): 0.0 states/eV/f.u.

***

# TlIBr3, optimized geometry, DFT GGA-PBE
data_TlIBr3
_chemical_formula_sum 'Tl4 I4 Br12'
_space_group_name_H-M_alt 'P 1 21/c 1'
_space_group_IT_number 14
_space_group_name_Hall '-P 2ybc'
_cell_length_a 9.622
_cell_length_b 8.273
_cell_length_c 13.342
_cell_angle_alpha 90.00
_cell_angle_beta 123.57
_cell_angle_gamma 90.00
loop_
_atom_site_label
_atom_site_type_symbol
_atom_site_fract_x
_atom_site_fract_y
_atom_site_fract_z
Tl1 Tl 0.061 0.124 0.177
I1 I 0.296 0.508 0.107
Br1 Br 0.094 0.170 0.960
Br2 Br 0.245 0.639 0.901
Br3 Br 0.333 0.110 0.806
# * theoretical density: 4.29 g cm⁻³
# * V: 885.0 Å³/cell
# * D(E_F): 0.4 states/eV/f.u.

***

# TlI3Br, optimized geometry, DFT GGA-PBE
data_TlI3Br
_chemical_formula_sum 'Tl2 I6 Br2'
_space_group_name_H-M_alt 'P 1'
_space_group_IT_number 1
_space_group_name_Hall 'P 1'
_cell_length_a 6.448
_cell_length_b 8.074
_cell_length_c 10.371
_cell_angle_alpha 91.47
_cell_angle_beta 103.28
_cell_angle_gamma 95.25
loop_
_atom_site_label
_atom_site_type_symbol
_atom_site_fract_x
_atom_site_fract_y
_atom_site_fract_z
Tl1 Tl 0.000 0.000 0.000
Tl2 Tl 0.286 0.508 0.377
I1 I 0.430 0.275 0.213
I2 I 0.526 0.795 0.778
I3 I 0.636 0.754 0.520
I4 I 0.681 0.332 0.960
I5 I 0.918 0.336 0.767
I6 I 0.967 0.704 0.254
Br1 Br 0.190 0.303 0.556
Br2 Br 0.464 0.836 0.028
# * theoretical density: 4.23 g cm⁻³
# * V: 522.7 Å³/cell

***

# Tl2IBr2, optimized geometry, DFT GGA-PBE
data_Tl2IBr2
_chemical_formula_sum 'Tl4 I2 Br4'
_space_group_name_H-M_alt 'C 1 2/m 1'
_space_group_IT_number 12
_space_group_name_Hall '-C 2y'
_cell_length_a 9.169
_cell_length_b 6.355
_cell_length_c 6.943
_cell_angle_alpha 90.00
_cell_angle_beta 95.02
_cell_angle_gamma 90.00
loop_
_atom_site_label
_atom_site_type_symbol
_atom_site_fract_x
_atom_site_fract_y
_atom_site_fract_z
Tl1 Tl 0.165 0.000 0.238
I1 I 0.000 0.500 0.000
Br1 Br 0.202 0.000 0.705
# * theoretical density: 5.73 g cm⁻³
# * V: 403.0 Å³/cell
# * D(E_F): 1.3 states/eV/f.u.

***

# Tl3IBr, optimized geometry, DFT GGA-PBE
data_Tl3IBr
_chemical_formula_sum 'Tl3 I1 Br1'
_space_group_name_H-M_alt 'P m -3 m'
_space_group_IT_number 221
_space_group_name_Hall '-P 4 2 3'
_cell_length_a 6.503
_cell_length_b 6.503
_cell_length_c 6.503
_cell_angle_alpha 90.00
_cell_angle_beta 90.00
_cell_angle_gamma 90.00
loop_
_atom_site_label
_atom_site_type_symbol
_atom_site_fract_x
_atom_site_fract_y
_atom_site_fract_z
Tl1 Tl 0.000 0.000 0.500
I1 I 0.000 0.000 0.000
Br1 Br 0.500 0.500 0.500
# * theoretical density: 4.95 g cm⁻³
# * V: 275.0 Å³/cell
# * D(E_F): 2.1 states/eV/f.u.

***

# TlI2Br8, optimized geometry, DFT GGA-PBE
data_TlI2Br8
_chemical_formula_sum 'Tl2 I4 Br16'
_space_group_name_H-M_alt 'C 1 2/m 1'
_space_group_IT_number 12
_space_group_name_Hall '-C 2y'
_cell_length_a 16.904
_cell_length_b 5.988
_cell_length_c 9.809
_cell_angle_alpha 90.00
_cell_angle_beta 92.25
_cell_angle_gamma 90.00
loop_
_atom_site_label
_atom_site_type_symbol
_atom_site_fract_x
_atom_site_fract_y
_atom_site_fract_z
Tl1 Tl 0.000 0.000 0.000
I1 I 0.173 0.500 0.578
Br1 Br 0.043 0.500 0.706
Br2 Br 0.134 0.279 0.105
Br3 Br 0.179 0.000 0.570
# * theoretical density: 3.67 g cm⁻³
# * V: 992.1 Å³/cell
# * D(E_F): 1.3 states/eV/f.u.

***

# Tl12I5Br3, optimized geometry, DFT GGA-PBE
data_Tl12I5Br3
_chemical_formula_sum 'Tl96 I40 Br24'
_space_group_name_H-M_alt 'I a -3 d'
_space_group_IT_number 230
_space_group_name_Hall '-I 4bd 2c 3'
_cell_length_a 19.705
_cell_length_b 19.705
_cell_length_c 19.705
_cell_angle_alpha 90.00
_cell_angle_beta 90.00
_cell_angle_gamma 90.00
loop_
_atom_site_label
_atom_site_type_symbol
_atom_site_fract_x
_atom_site_fract_y
_atom_site_fract_z
Tl1 Tl 0.014 0.091 0.651
I1 I 0.000 0.000 0.000
I2 I 0.000 0.250 0.375
Br1 Br 0.000 0.250 0.125
# * theoretical density: 5.78 g cm⁻³
# * V: 7650.7 Å³/cell
# * D(E_F): 8.6 states/eV/f.u.

***

# TlIBr4, optimized geometry, DFT GGA-PBE
data_TlIBr4
_chemical_formula_sum 'Tl4 I4 Br16'
_space_group_name_H-M_alt 'C 1 2/c 1'
_space_group_IT_number 15
_space_group_name_Hall '-C 2yc'
_cell_length_a 8.129
_cell_length_b 21.303
_cell_length_c 7.277
_cell_angle_alpha 90.00
_cell_angle_beta 109.84
_cell_angle_gamma 90.00
loop_
_atom_site_label
_atom_site_type_symbol
_atom_site_fract_x
_atom_site_fract_y
_atom_site_fract_z
Tl1 Tl 0.000 0.074 0.250
I1 I 0.000 0.341 0.750
Br1 Br 0.147 0.163 0.069
Br2 Br 0.247 0.035 0.551
# * theoretical density: 3.65 g cm⁻³
# * V: 1185.4 Å³/cell

***

# Tl5I4Br, optimized geometry, DFT GGA-PBE
data_Tl5I4Br
_chemical_formula_sum 'Tl10 I8 Br2'
_space_group_name_H-M_alt 'I m m m'
_space_group_IT_number 71
_space_group_name_Hall '-I 2 2'
_cell_length_a 4.965
_cell_length_b 7.045
_cell_length_c 24.833
_cell_angle_alpha 90.00
_cell_angle_beta 90.00
_cell_angle_gamma 90.00
loop_
_atom_site_label
_atom_site_type_symbol
_atom_site_fract_x
_atom_site_fract_y
_atom_site_fract_z
Tl1 Tl 0.000 0.000 0.000
Tl2 Tl 0.000 0.000 0.202
Tl3 Tl 0.000 0.000 0.407
I1 I 0.000 0.500 0.196
I2 I 0.000 0.500 0.400
Br1 Br 0.000 0.500 0.000
# * theoretical density: 6.15 g cm⁻³
# * V: 868.7 Å³/cell
# * D(E_F): 0.0 states/eV/f.u.

***

no.,E_form (uncorrected) (eV/f.u.)
1,-4.34
2,-1.70
3,-8.35
4,-5.41
5,-1.59
6,-1.34
7,-2.73
8,-0.64
9,-0.84
10,-7.02
11,-1.89
12,-7.01